# MnSnSbO6

A relaxed MnSnSbO6 crystal (PBE with a Hubbard U, Alexandria via LeMat-Bulk).

Summary:
Electronic total energy: -6.44 eV per atom

Cell: 5.2936 5.2936 8.8973 Å, 90.00 90.00 120.00°
Closest atoms and distances in Å follow each position.
Space group P-31c (No. 163)
Unique sites:
Mn (0.0000, 0.0000, 0.0000) x2  6 O 2.14
Sn (0.3333, 0.6667, 0.2500) x2  6 O 2.09
Sb (0.3333, 0.6667, 0.7500) x2  6 O 2.02
O (0.0106, 0.3463, 0.6282) x12  1 Sb 2.02, 1 Sn 2.09, 1 Mn 2.14